Record 1
ReNiCl2: optimized geometry, PBE.

```
ReNiCl2
1.0
2.929 0.000 0.000
0.000 5.311 0.000
0.000 0.000 9.361
Re Ni Cl
2 2 4
direct
0.000 0.000 0.000
0.500 0.500 0.000
0.000 0.500 0.217
0.500 0.000 0.217
0.000 0.000 0.402
0.000 0.500 0.793
0.500 0.000 0.793
0.500 0.500 0.402
```

DOS(E_F)   1.069 states/eV/atom
Space group   Cmm2
Raw total energy   -41.191 eV/cell
ΔE_f (raw)   0.332 eV per atom
Density   7.204 g cm⁻³



Record 2
La2Ce2AlGe4: optimized geometry, PBE.

```
La2Ce2AlGe4
1.0
-3.621 3.621 4.324
3.621 -3.621 4.324
3.621 3.621 -4.324
La Ce Al Ge
2 2 1 4
direct
0.250 0.750 0.500
0.750 0.250 0.500
0.168 0.168 0.000
0.832 0.832 0.000
0.500 0.500 0.000
0.256 0.256 0.512
0.256 0.744 0.000
0.744 0.256 0.000
0.744 0.744 0.488
```

DOS(E_F)   1.266 states/eV/atom
Space group   I4/mmm
Raw total energy   -47.297 eV/cell
Energy of formation   -0.374 eV per atom
Density   6.412 g cm⁻³



Record 3
HfMnSCl2: optimized geometry, PBE.

```
HfMnSCl2
1.0
5.017 0.000 0.000
0.000 5.017 0.000
0.000 0.000 4.936
Hf Mn S Cl
1 1 1 2
direct
0.000 0.000 0.000
0.500 0.500 0.500
0.000 0.000 0.500
0.000 0.500 0.000
0.500 0.000 0.000
```

DOS(E_F)   0.734 states/eV/atom
Space group   P4/mmm
Raw total energy   -29.617 eV/cell
ΔE_f (raw)   -0.535 eV per atom
Density   4.495 g cm⁻³



Record 4
Cs2BaZnAu: optimized geometry, PBE.

```
Cs2BaZnAu
1.0
8.297 0.000 0.000
0.000 8.297 0.000
0.000 0.000 6.150
Cs Ba Zn Au
2 1 1 1
direct
0.000 0.500 0.000
0.500 0.000 0.000
0.000 0.000 0.000
0.000 0.000 0.500
0.500 0.500 0.500
```

DOS(E_F)   0.749 states/eV/atom
Space group   P4/mmm
Raw total energy   -5.323 eV/cell
Energy of formation   0.572 eV per atom
Density   2.610 g cm⁻³